Density functional theory data (GGA-PBEsol) for a relaxed structure of Ta5Al.

Output
Electronic total energy: -11.09 eV per atom
V: 17.42 Å³/atom
Formation enthalpy at 0 K: 47 meV/atom
Polymorph energy (0 for the lowest one): 0.102 eV per atom
N(E_F): 1.129 states/eV per atom

Lattice parameters (Å, degrees): 2.770 2.770 13.622 90.00 90.00 90.00
Element x y z (fractional)
1 Ta 0.500 0.500 0.673
2 Ta 0.000 0.000 0.154
3 Ta 0.000 0.000 0.846
4 Ta 0.000 0.000 0.500
5 Ta 0.500 0.500 0.327
6 Al 0.500 0.500 0.000